# 1
Below is an optimized crystal structure of SnPdS2Br, with properties calculated at the PBEsol level.

* calculated volume: 22.85 A^3/atom
* electronic total energy: -3.53 eV/atom
* formation energy without anion corrections: 0.640 eV per atom
* mass density: 5.4 g/cm³

Unit cell a=4.643 b=4.961 c=4.961 alpha=90.00 beta=90.00 gamma=90.00
Fractional coordinates of all 5 atoms:
Br 0.000 0.000 0.000
Pd 0.500 0.000 0.000
S 0.000 0.000 0.500
S 0.000 0.500 0.000
Sn 0.500 0.500 0.500

# 2
Below is an optimized crystal structure of TaSiOs2, with properties calculated at the PBEsol level.

* calculated volume: 14.56 A^3/atom
* electronic total energy: -10.84 eV/atom
* formation energy without anion corrections: -0.160 eV per atom
* mass density: 16.8 g/cm³

Unit cell a=2.843 b=3.945 c=5.193 alpha=90.00 beta=90.00 gamma=90.00
Fractional coordinates of all 4 atoms:
Os 0.500 0.500 0.283
Si 0.000 0.000 0.473
Ta 0.500 0.500 0.760
Os 0.000 0.000 0.984

# 3
Below is an optimized crystal structure of CaTeAs2, with properties calculated at the PBEsol level.

* calculated volume: 26.28 A^3/atom
* electronic total energy: -4.53 eV/atom
* formation energy without anion corrections: -0.567 eV per atom
* mass density: 5.0 g/cm³

Unit cell a=3.958 b=4.632 c=6.161 alpha=100.06 beta=108.74 gamma=90.00
Fractional coordinates of all 4 atoms:
Ca 0.000 0.000 0.000
As 0.260 0.180 0.520
As 0.740 0.820 0.480
Te 0.500 0.500 0.000

# 4
Below is an optimized crystal structure of KRhSe4, with properties calculated at the PBEsol level.

* calculated volume: 21.10 A^3/atom
* electronic total energy: -3.67 eV/atom
* formation energy without anion corrections: 0.445 eV per atom
* mass density: 6.0 g/cm³

Unit cell a=5.636 b=5.636 c=5.636 alpha=60.00 beta=60.00 gamma=60.00
Fractional coordinates of all 6 atoms:
Se 0.373 0.373 0.373
K 0.750 0.750 0.750
Se 0.880 0.373 0.373
Rh 0.000 0.000 0.000
Se 0.373 0.373 0.880
Se 0.373 0.880 0.373